Entry 1:
# B7C5 GGA-PBE relaxed
# Formation energy from the elements: 0.426 eV per atom
# Energy relative to the lowest polymorph listed for this composition: 261 meV per atom
# VASP energy: -7.313 eV/atom
# Size of the total moment: 0.0 μB per cell
data_B7C5
_chemical_formula_sum 'B7 C5'
_cell_length_a 2.639
_cell_length_b 8.463
_cell_length_c 3.854
_cell_angle_alpha 90.00
_cell_angle_beta 90.00
_cell_angle_gamma 90.00
_space_group_name_H-M_alt 'P m m 2'
_space_group_IT_number 25
loop_
_space_group_symop_operation_xyz
'x,y,z'
'-x,-y,z'
'-x,y,z'
'x,-y,z'
loop_
_atom_site_label
_atom_site_fract_x
_atom_site_fract_y
_atom_site_fract_z
_atom_site_occupancy
B1 0.000 0.000 0.000 1
B2 0.000 0.199 0.241 1
B3 0.500 0.121 0.477 1
B4 0.500 0.369 0.780 1
C1 0.000 0.344 0.003 1
C2 0.000 0.500 0.257 1
C3 0.500 0.000 0.778 1
C4 0.500 0.500 0.482 1

Entry 2:
# B3C GGA-PBE relaxed
# Formation energy from the elements: 0.409 eV per atom
# Energy relative to the lowest polymorph listed for this composition: 169 meV per atom
# VASP energy: -6.905 eV/atom
# Size of the total moment: 0.0 μB per cell
data_B3C
_chemical_formula_sum 'B9 C3'
_cell_length_a 2.330
_cell_length_b 2.455
_cell_length_c 14.496
_cell_angle_alpha 90.00
_cell_angle_beta 90.00
_cell_angle_gamma 90.00
_space_group_name_H-M_alt 'P m m 2'
_space_group_IT_number 25
loop_
_space_group_symop_operation_xyz
'x,y,z'
'-x,-y,z'
'-x,y,z'
'x,-y,z'
loop_
_atom_site_label
_atom_site_fract_x
_atom_site_fract_y
_atom_site_fract_z
_atom_site_occupancy
B1 0.000 0.000 0.000 1
B2 0.000 0.000 0.305 1
B3 0.000 0.000 0.669 1
B4 0.000 0.500 0.393 1
B5 0.000 0.500 0.758 1
B6 0.500 0.000 0.210 1
B7 0.500 0.000 0.575 1
B8 0.500 0.500 0.487 1
B9 0.500 0.500 0.853 1
C1 0.000 0.500 0.076 1
C2 0.500 0.000 0.922 1
C3 0.500 0.500 0.136 1

Entry 3:
# B7C5 GGA-PBE relaxed
# Formation energy from the elements: 0.373 eV per atom
# Energy relative to the lowest polymorph listed for this composition: 209 meV per atom
# VASP energy: -7.365 eV/atom
# Size of the total moment: 0.0 μB per cell
data_B7C5
_chemical_formula_sum 'B7 C5'
_cell_length_a 2.397
_cell_length_b 2.564
_cell_length_c 13.348
_cell_angle_alpha 90.00
_cell_angle_beta 90.00
_cell_angle_gamma 90.00
_space_group_name_H-M_alt 'P m m 2'
_space_group_IT_number 25
loop_
_space_group_symop_operation_xyz
'x,y,z'
'-x,-y,z'
'-x,y,z'
'x,-y,z'
loop_
_atom_site_label
_atom_site_fract_x
_atom_site_fract_y
_atom_site_fract_z
_atom_site_occupancy
B1 0.000 0.000 0.000 1
B2 0.000 0.000 0.322 1
B3 0.000 0.000 0.645 1
B4 0.000 0.500 0.902 1
B5 0.500 0.000 0.101 1
B6 0.500 0.000 0.425 1
B7 0.500 0.000 0.749 1
C1 0.000 0.500 0.244 1
C2 0.000 0.500 0.566 1
C3 0.500 0.500 0.181 1
C4 0.500 0.500 0.502 1
C5 0.500 0.500 0.819 1

Question: What is the formula in the first record?
Answer: B7C5

Question: The highest formation energy from the elements belongs to which entry?
Answer: number 1

Question: formation energy from the elements of number 2 (B3C)?
Answer: 0.409 eV per atom